P | CoPRh3: optimized geometry, PBE.

crystal system	cubic

a = 4.3319 Å, b = 4.3319 Å, c = 4.3319 Å
α = 90.00°, β = 90.00°, γ = 90.00°
With the nearest neighbours (Å) after each atom.
Fractional coordinates of all 5 atoms:
Co (0.0000, 0.0000, 0.0000)  12 Rh 3.06
P (0.5000, 0.5000, 0.5000)  6 Rh 2.17
Rh (0.0000, 0.5000, 0.5000)  2 P 2.17
Rh (0.5000, 0.0000, 0.5000)  2 P 2.17
Rh (0.5000, 0.5000, 0.0000)  2 P 2.17


Q | CoPRh3: optimized geometry, PBE.

crystal system	cubic

a = 4.4336 Å, b = 4.4336 Å, c = 4.4336 Å
α = 90.00°, β = 90.00°, γ = 90.00°
With the nearest neighbours (Å) after each atom.
Fractional coordinates of all 5 atoms:
Co (0.0000, 0.0000, 0.0000)  6 Rh 2.22
P (0.5000, 0.5000, 0.5000)  12 Rh 3.14
Rh (0.0000, 0.0000, 0.5000)  2 Co 2.22
Rh (0.0000, 0.5000, 0.0000)  2 Co 2.22
Rh (0.5000, 0.0000, 0.0000)  2 Co 2.22


Of them, Q has the lowest stability.